Entry from the Alexandria database: crystalline ZnNiNF2 at its relaxed geometry (PBE+U).

Lattice parameters (Å, degrees): 3.8135 3.8135 4.0447 90.00 90.00 90.00
Sites, in units of the cell vectors:
1 Zn 0.0000 0.0000 0.0000
2 Ni 0.5000 0.5000 0.5000
3 N 0.5000 0.5000 0.0000
4 F 0.0000 0.5000 0.5000
5 F 0.5000 0.0000 0.5000

Properties
V = 11.764 Å³/atom
raw total energy = -0.265 Ry/atom
density of states at the Fermi level = 0.97 states/eV/f.u.
spin magnetization = 0.449 μB per atom


Entry from the Alexandria database: crystalline ZrNiN2F at its relaxed geometry (PBE+U).

Lattice parameters (Å, degrees): 3.8126 3.8126 3.6234 90.00 90.00 90.00
Sites, in units of the cell vectors:
1 Zr 0.0000 0.0000 0.0000
2 Ni 0.5000 0.5000 0.5000
3 N 0.0000 0.5000 0.5000
4 N 0.5000 0.0000 0.5000
5 F 0.5000 0.5000 0.0000

Properties
V = 10.534 Å³/atom
raw total energy = -0.459 Ry/atom
density of states at the Fermi level = 1.05 states/eV/f.u.
spin magnetization = 0.208 μB per atom